(1)
# U GGA-PBE optimized geometry
data_U
_chemical_formula_sum 'U29'
_cell_length_a 9.1988
_cell_length_b 9.2049
_cell_length_c 9.2049
_cell_angle_alpha 109.48
_cell_angle_beta 109.46
_cell_angle_gamma 109.46
_symmetry_space_group_name_H-M 'P 1'
_symmetry_Int_Tables_number 1
loop_
_symmetry_equiv_pos_as_xyz
'x,y,z'
loop_
_atom_site_label
_atom_site_type_symbol
_atom_site_fract_x
_atom_site_fract_y
_atom_site_fract_z
_atom_site_occupancy
U1 U 0.0000 0.0000 0.0000 1
U2 U 0.6203 0.3420 0.9999 1
U3 U 0.6241 0.6241 0.6241 1
U4 U 0.7217 0.3799 0.3799 1
U5 U 0.3420 0.0001 0.6204 1
U6 U 0.6581 0.2782 0.6581 1
U7 U 0.6203 0.9999 0.3420 1
U8 U 0.2784 0.6579 0.6579 1
U9 U 0.0000 0.3761 0.0000 1
U10 U 0.9998 0.8069 0.6288 1
U11 U 0.0000 0.3419 0.6203 1
U12 U 0.8068 0.6291 0.0000 1
U13 U 0.8068 0.0000 0.6291 1
U14 U 0.3797 0.7218 0.3798 1
U15 U 0.6291 0.8067 0.0000 1
U16 U 0.3420 0.6204 0.0001 1
U17 U 0.8224 0.1931 0.1931 1
U18 U 0.0000 0.6203 0.3419 1
U19 U 0.3709 0.3711 0.1778 1
U20 U 0.9998 0.6288 0.8069 1
U21 U 0.3759 0.0000 0.0000 1
U22 U 0.1778 0.3711 0.3711 1
U23 U 0.6291 0.0000 0.8067 1
U24 U 0.1930 0.8219 0.1932 1
U25 U 0.6581 0.6581 0.2782 1
U26 U 0.0000 0.0000 0.3761 1
U27 U 0.3709 0.1778 0.3711 1
U28 U 0.3797 0.3798 0.7218 1
U29 U 0.1930 0.1932 0.8219 1
# ΔE_f = 0.1502 eV per atom
# symmetry = I-43m (217)
# ΔE to the lowest computed polymorph = 0.150 eV/atom
# crystal system = cubic



(2)
# U GGA-PBE optimized geometry
data_U
_chemical_formula_sum 'U1'
_cell_length_a 3.1330
_cell_length_b 3.1330
_cell_length_c 3.1330
_cell_angle_alpha 119.26
_cell_angle_beta 119.26
_cell_angle_gamma 60.74
_symmetry_space_group_name_H-M 'P 1'
_symmetry_Int_Tables_number 1
loop_
_symmetry_equiv_pos_as_xyz
'x,y,z'
loop_
_atom_site_label
_atom_site_type_symbol
_atom_site_fract_x
_atom_site_fract_y
_atom_site_fract_z
_atom_site_occupancy
U1 U 0.0000 0.0000 0.0000 1
# ΔE_f = 0.3819 eV per atom
# symmetry = R-3m (166)
# ΔE to the lowest computed polymorph = 0.382 eV/atom
# crystal system = trigonal



(3)
# U GGA-PBE optimized geometry
data_U
_chemical_formula_sum 'U4'
_cell_length_a 2.9846
_cell_length_b 2.9846
_cell_length_c 10.9691
_cell_angle_alpha 90.00
_cell_angle_beta 90.00
_cell_angle_gamma 120.00
_symmetry_space_group_name_H-M 'P 1'
_symmetry_Int_Tables_number 1
loop_
_symmetry_equiv_pos_as_xyz
'x,y,z'
loop_
_atom_site_label
_atom_site_type_symbol
_atom_site_fract_x
_atom_site_fract_y
_atom_site_fract_z
_atom_site_occupancy
U1 U 0.3333 0.6667 0.2500 1
U2 U 0.0000 0.0000 0.5000 1
U3 U 0.0000 0.0000 0.0000 1
U4 U 0.6667 0.3333 0.7500 1
# ΔE_f = 0.3065 eV per atom
# symmetry = P6_3/mmc (194)
# ΔE to the lowest computed polymorph = 0.306 eV/atom
# crystal system = hexagonal



(4)
# U GGA-PBE optimized geometry
data_U
_chemical_formula_sum 'U2'
_cell_length_a 3.7715
_cell_length_b 3.7715
_cell_length_c 3.7720
_cell_angle_alpha 120.00
_cell_angle_beta 60.00
_cell_angle_gamma 120.00
_symmetry_space_group_name_H-M 'P 1'
_symmetry_Int_Tables_number 1
loop_
_symmetry_equiv_pos_as_xyz
'x,y,z'
loop_
_atom_site_label
_atom_site_type_symbol
_atom_site_fract_x
_atom_site_fract_y
_atom_site_fract_z
_atom_site_occupancy
U1 U 0.2500 0.7500 0.2500 1
U2 U 0.7500 0.2500 0.7500 1
# ΔE_f = 0.1709 eV per atom
# symmetry = Pm-3m (221)
# ΔE to the lowest computed polymorph = 0.171 eV/atom
# crystal system = cubic